{"formula": "LiMg2Cd", "functional": "PBEsol", "state": "relaxed", "lattice_angstrom": [[-2.8352, 2.0978, -0.2979], [-2.7106, -3.4117, 1.7728], [3.5684, 2.3459, 3.5847]], "species": ["Li", "Mg", "Mg", "Cd"], "frac_coords": [[0.2396, 0.7395, 0.4792], [0.9913, 0.9920, 0.9827], [0.7573, 0.2563, 0.5147], [0.5117, 0.5121, 0.0234]], "formation_energy_mev_per_atom": -135, "energy_ev_per_atom": -1.785}